Below is Dy3VO7 after structural relaxation, with properties calculated at the PBE with a Hubbard U level.

a = 6.4127 Å, b = 6.4127 Å, c = 7.3168 Å
α = 90.00°, β = 90.00°, γ = 108.07°
Last column: nearest neighbours and their distance in Å.
Fractional positions:
1 Dy 0.0410 0.4974 0.2618  7 O 2.21-2.46
2 Dy 0.0490 0.0490 0.0000  6 O 2.29-2.36
3 Dy 0.4974 0.0410 0.7382  7 O 2.21-2.46
4 Dy 0.5026 0.9590 0.2382  7 O 2.21-2.46
5 Dy 0.9510 0.9510 0.5000  6 O 2.29-2.36
6 Dy 0.9590 0.5026 0.7618  7 O 2.21-2.46
7 V 0.4937 0.4937 0.5000  6 O 1.80-2.01
8 V 0.5063 0.5063 0.0000  6 O 1.80-2.01
9 O 0.1293 0.8707 0.7500  4 Dy 2.27-2.30
10 O 0.1399 0.8601 0.2500  4 Dy 2.21-2.36
11 O 0.1787 0.4242 0.9782  1 V 2.01
12 O 0.2088 0.4594 0.5466  1 V 1.80
13 O 0.4242 0.1787 0.0218  1 V 2.01
14 O 0.4398 0.5602 0.2500  2 V 1.93
15 O 0.4594 0.2088 0.4534  1 V 1.80
16 O 0.5406 0.7912 0.9534  1 V 1.80
17 O 0.5602 0.4398 0.7500  2 V 1.93
18 O 0.5758 0.8213 0.5218  1 V 2.01
19 O 0.7912 0.5406 0.0466  1 V 1.80
20 O 0.8213 0.5758 0.4782  1 V 2.01
21 O 0.8601 0.1399 0.7500  4 Dy 2.21-2.36
22 O 0.8707 0.1293 0.2500  4 Dy 2.27-2.30

Summary:
The calculation puts the total magnetic moment at 0.00 μB/f.u. The space group is C222_1. As for the final energy: -8.1651 eV per atom.